Compound: In2P2Br
Source: the Alexandria database
Functional: meta-GGA SCAN
Structure: single point on PBEsol structure

Uncorrected energy, eV/atom: -21.388
ρ, g/cm³: 5.41
M_tot, μB/cell: 0.00

abc: 3.3922 3.3922 19.8283
angles: 90.00 90.00 90.00
With the nearest neighbours (Å) after each atom.
Space group I4/mmm (No. 139)
Asymmetric unit:
In 0.0000 0.0000 0.1103  4 Br 3.25, 4 P 3.25, 4 In 3.39
P 0.0000 0.5000 0.2500  4 P 2.40
Br 0.0000 0.0000 0.5000  8 In 3.25, 4 Br 3.39



Compound: In2PBr
Source: the Alexandria database
Functional: meta-GGA SCAN
Structure: single point on PBEsol structure

Uncorrected energy, eV/atom: -24.415
ρ, g/cm³: 5.63
M_tot, μB/cell: 0.00

abc: 7.0302 4.0734 7.2481
angles: 90.00 104.71 90.00
With the nearest neighbours (Å) after each atom.
Space group C2/m (No. 12)
Asymmetric unit:
In 0.2194 0.0000 0.1979  3 P 2.72-2.73, 1 Br 2.98
P 0.0000 0.5000 0.0000  6 In 2.72-2.73
Br 0.0000 0.0000 0.5000  6 In 2.98-3.26



Compound: InPBr2
Source: the Alexandria database
Functional: meta-GGA SCAN
Structure: single point on PBEsol structure

Uncorrected energy, eV/atom: -20.254
ρ, g/cm³: 5.48
M_tot, μB/cell: 0.00

abc: 5.0957 5.0957 3.5681
angles: 90.00 90.00 90.00
With the nearest neighbours (Å) after each atom.
Space group P4/mmm (No. 123)
Asymmetric unit:
In 0.0000 0.0000 0.0000  8 Br 3.11
P 0.5000 0.5000 0.0000  8 Br 3.11
Br 0.0000 0.5000 0.5000  4 In 3.11, 4 P 3.11



Compound: In2PBr
Source: the Alexandria database
Functional: meta-GGA SCAN
Structure: single point on PBEsol structure

Uncorrected energy, eV/atom: -24.111
ρ, g/cm³: 6.28
M_tot, μB/cell: 0.00

abc: 7.1146 7.1146 7.1146
angles: 90.00 90.00 90.00
With the nearest neighbours (Å) after each atom.
Space group Fm-3m (No. 225)
Asymmetric unit:
In 0.2500 0.2500 0.2500  4 Br 3.08, 4 P 3.08
P 0.0000 0.0000 0.0000  8 In 3.08
Br 0.0000 0.0000 0.5000  8 In 3.08



Compound: InP2SBr
Source: the Alexandria database
Functional: meta-GGA SCAN
Structure: single point on PBEsol structure

Uncorrected energy, eV/atom: -15.618
ρ, g/cm³: 3.85
M_tot, μB/cell: 2.24

abc: 5.0893 5.0893 4.8082
angles: 90.00 90.00 90.00
With the nearest neighbours (Å) after each atom.
Space group P4/mmm (No. 123)
Asymmetric unit:
In 0.0000 0.0000 0.0000  2 S 2.40, 4 P 2.54
P 0.0000 0.5000 0.0000  2 In 2.54
S 0.0000 0.0000 0.5000  2 In 2.40
Br 0.5000 0.5000 0.5000  8 P 3.50, 4 S 3.60



Compound: InPWBr2
Source: the Alexandria database
Functional: meta-GGA SCAN
Structure: single point on PBEsol structure

Uncorrected energy, eV/atom: -29.025
ρ, g/cm³: 6.28
M_tot, μB/cell: 4.98

abc: 4.8891 4.8891 5.4166
angles: 90.00 90.00 90.00
With the nearest neighbours (Å) after each atom.
Space group P4/mmm (No. 123)
Asymmetric unit:
In 0.0000 0.0000 0.0000  2 P 2.71
P 0.0000 0.0000 0.5000  4 Br 2.44, 2 In 2.71
W 0.5000 0.5000 0.0000  4 In 3.46, 8 Br 3.65
Br 0.0000 0.5000 0.5000  2 P 2.44



Compound: InPb2Br
Source: the Alexandria database
Functional: meta-GGA SCAN
Structure: single point on PBEsol structure

Uncorrected energy, eV/atom: -51.123
ρ, g/cm³: 8.90
M_tot, μB/cell: 0.00

abc: 4.8227 4.8227 4.8881
angles: 90.00 90.00 90.00
With the nearest neighbours (Å) after each atom.
Space group P4/mmm (No. 123)
Asymmetric unit:
In 0.0000 0.0000 0.0000  4 Br 3.41, 8 Pb 3.43
Pb 0.0000 0.5000 0.5000  4 Pb 3.41, 4 In 3.43, 4 Br 3.43
Br 0.5000 0.5000 0.0000  4 In 3.41, 8 Pb 3.43



Compound: InPb2Br
Source: the Alexandria database
Functional: meta-GGA SCAN
Structure: single point on PBEsol structure

Uncorrected energy, eV/atom: -51.268
ρ, g/cm³: 9.13
M_tot, μB/cell: 0.00

abc: 5.6325 5.6325 3.4933
angles: 90.00 90.00 90.00
With the nearest neighbours (Å) after each atom.
Space group P4/mmm (No. 123)
Asymmetric unit:
In 0.0000 0.0000 0.0000  8 Pb 3.31, 2 In 3.49
Pb 0.0000 0.5000 0.5000  4 In 3.31, 4 Br 3.31, 2 Pb 3.49
Br 0.5000 0.5000 0.0000  8 Pb 3.31, 2 Br 3.49



Compound: InPb2Br
Source: the Alexandria database
Functional: meta-GGA SCAN
Structure: single point on PBEsol structure

Uncorrected energy, eV/atom: -51.292
ρ, g/cm³: 8.92
M_tot, μB/cell: 0.00

abc: 3.5528 3.5528 8.9850
angles: 90.00 90.00 90.00
With the nearest neighbours (Å) after each atom.
Space group P4mm (No. 99)
Asymmetric unit:
In 0.0000 0.0000 0.0000  4 Br 3.16, 4 Pb 3.43
Pb 0.0000 0.0000 0.5146  8 Pb 3.40-3.55, 4 Br 3.51
Pb 0.5000 0.5000 0.2602  8 Pb 3.40-3.55, 4 In 3.43
Br 0.5000 0.5000 0.7874  4 In 3.16, 4 Pb 3.51



Compound: InPb2Br
Source: the Alexandria database
Functional: meta-GGA SCAN
Structure: single point on PBEsol structure

Uncorrected energy, eV/atom: -51.189
ρ, g/cm³: 9.07
M_tot, μB/cell: 0.00

abc: 3.4720 4.6387 6.9266
angles: 90.00 90.00 90.00
With the nearest neighbours (Å) after each atom.
Space group Pmmm (No. 47)
Asymmetric unit:
In 0.0000 0.0000 0.0000  8 Pb 3.37, 2 Br 3.46, 2 In 3.47
Pb 0.5000 0.5000 0.2487  4 In 3.37, 4 Br 3.38, 4 Pb 3.45-3.48
Br 0.0000 0.0000 0.5000  8 Pb 3.38, 2 In 3.46, 2 Br 3.47



Compound: InTc2PbBr
Source: the Alexandria database
Functional: meta-GGA SCAN
Structure: single point on PBEsol structure

Uncorrected energy, eV/atom: -38.213
ρ, g/cm³: 6.50
M_tot, μB/cell: 6.05

abc: 5.1528 5.1528 5.7568
angles: 90.00 90.00 90.00
With the nearest neighbours (Å) after each atom.
Space group P4/mmm (No. 123)
Asymmetric unit:
In 0.0000 0.0000 0.0000  4 Br 3.64, 8 Tc 3.86
Tc 0.0000 0.5000 0.5000  2 Pb 2.58
Pb 0.5000 0.5000 0.5000  4 Tc 2.58, 2 Br 2.88
Br 0.5000 0.5000 0.0000  2 Pb 2.88



Compound: InPdSe2Br
Source: the Alexandria database
Functional: meta-GGA SCAN
Structure: single point on PBEsol structure

Uncorrected energy, eV/atom: -24.645
ρ, g/cm³: 5.42
M_tot, μB/cell: 1.80

abc: 5.1800 5.1800 5.2458
angles: 90.00 90.00 90.00
With the nearest neighbours (Å) after each atom.
Space group P4/mmm (No. 123)
Asymmetric unit:
In 0.0000 0.0000 0.0000  4 Se 2.59, 2 Br 2.62
Pd 0.5000 0.5000 0.5000  4 Br 3.66, 8 Se 3.69
Se 0.0000 0.5000 0.0000  2 In 2.59
Br 0.0000 0.0000 0.5000  2 In 2.62



Compound: In2PtBr
Source: the Alexandria database
Functional: meta-GGA SCAN
Structure: single point on PBEsol structure

Uncorrected energy, eV/atom: -39.037
ρ, g/cm³: 9.56
M_tot, μB/cell: 0.00

abc: 7.0515 7.0515 7.0515
angles: 90.00 90.00 90.00
With the nearest neighbours (Å) after each atom.
Space group Fm-3m (No. 225)
Asymmetric unit:
In 0.2500 0.2500 0.2500  4 Br 3.05, 4 Pt 3.05
Pt 0.0000 0.0000 0.0000  8 In 3.05
Br 0.0000 0.0000 0.5000  8 In 3.05



Compound: In2PtBr
Source: the Alexandria database
Functional: meta-GGA SCAN
Structure: single point on PBEsol structure

Uncorrected energy, eV/atom: -39.455
ρ, g/cm³: 8.76
M_tot, μB/cell: 0.00

abc: 3.5498 3.5589 15.1419
angles: 90.00 90.00 90.00
With the nearest neighbours (Å) after each atom.
Space group Imm2 (No. 44)
Asymmetric unit:
In 0.0000 0.0000 0.0000  4 Pt 2.70
In 0.0000 0.5000 0.2963  2 Pt 2.75
Pt 0.0000 0.0000 0.4345  6 In 2.70-2.75
Br 0.0000 0.5000 0.6667  6 In 3.09-3.19



Compound: In2PtBr
Source: the Alexandria database
Functional: meta-GGA SCAN
Structure: single point on PBEsol structure

Uncorrected energy, eV/atom: -39.262
ρ, g/cm³: 8.82
M_tot, μB/cell: 0.00

abc: 3.8223 3.8223 22.5359
angles: 90.00 90.00 120.00
With the nearest neighbours (Å) after each atom.
Space group R3m (No. 160, hexagonal axes)
Asymmetric unit:
In 0.0000 0.0000 0.0000  3 Br 3.07, 3 In 3.12
In 0.0000 0.0000 0.2353  3 Pt 2.62
Pt 0.0000 0.0000 0.5063  3 In 2.62, 3 Br 2.82
Br 0.0000 0.0000 0.7616  3 Pt 2.82, 3 In 3.07



Number 1: E_form (uncorrected) 1.78 kJ per mole of atoms. Number 2: E_form (uncorrected) -24.80 kJ per mole of atoms. Number 3: E_form (uncorrected) 40.68 kJ per mole of atoms. Number 4: E_form (uncorrected) 4.50 kJ per mole of atoms. Number 5: E_form (uncorrected) 99.96 kJ per mole of atoms. Number 6: E_form (uncorrected) 140.20 kJ per mole of atoms. Number 7: E_form (uncorrected) -2.00 kJ per mole of atoms. Number 8: E_form (uncorrected) -16.02 kJ per mole of atoms. Number 9: E_form (uncorrected) -18.29 kJ per mole of atoms. Number 10: E_form (uncorrected) -8.42 kJ per mole of atoms. Number 11: E_form (uncorrected) 148.19 kJ per mole of atoms. Number 12: E_form (uncorrected) 49.23 kJ per mole of atoms. Number 13: E_form (uncorrected) 6.71 kJ per mole of atoms. Number 14: E_form (uncorrected) -33.60 kJ per mole of atoms. Number 15: E_form (uncorrected) -15.04 kJ per mole of atoms.